1.
# Mg3AlPt2

A relaxed Mg3AlPt2 crystal (PBE, the Alexandria database).

abc: 5.5979 5.5571 8.0561
angles: 110.18 110.33 90.00
Sites, in units of the cell vectors:
Pt 0.3397 0.1213 0.2426
Mg 0.9004 0.1832 0.3664
Mg 0.4660 0.6832 0.3664
Al 0.0000 0.7500 0.0000
Pt 0.9029 0.6213 0.2426
Mg 0.5000 0.2500 0.0000
Al 0.0000 0.2500 0.0000
Pt 0.6603 0.8787 0.7574
Pt 0.0971 0.3787 0.7574
Mg 0.0996 0.8168 0.6336
Mg 0.5340 0.3168 0.6336
Mg 0.5000 0.7500 0.0000

Calculated values
Its formation energy is -70.7 kJ/mol of atoms. The calculation puts the magnetization at 0.0 Bohr magnetons per cell. For the energy above the most stable polymorph in this dataset, the calculation gives 0.000 eV/atom. As for the total energy: -0.153 Ha/atom.

---

2.
# TlCr2As

A relaxed TlCr2As crystal (PBE, the Alexandria database).

abc: 3.5788 4.5972 4.5972
angles: 90.00 90.00 90.00
Sites, in units of the cell vectors:
Tl 0.5000 0.5000 0.0000
Cr 0.0000 0.5000 0.5000
As 0.5000 0.0000 0.5000
Cr 0.0000 0.0000 0.0000

Calculated values
Its formation energy is 49.0 kJ/mol of atoms. The calculation puts the magnetization at 7.8 Bohr magnetons per cell. For the energy above the most stable polymorph in this dataset, the calculation gives 0.247 eV/atom. As for the total energy: -0.223 Ha/atom.

---

3.
# BaCrW2

A relaxed BaCrW2 crystal (PBE, the Alexandria database).

abc: 6.0814 6.0814 6.0814
angles: 148.94 126.06 63.56
Sites, in units of the cell vectors:
W 0.9704 0.9704 0.0000
Ba 0.5128 0.5128 0.0000
W 0.7943 0.2943 0.5000
Cr 0.2224 0.7224 0.5000

Calculated values
Its formation energy is 133.3 kJ/mol of atoms. The calculation puts the magnetization at 3.7 Bohr magnetons per cell. For the energy above the most stable polymorph in this dataset, the calculation gives 0.523 eV/atom. As for the total energy: -0.293 Ha/atom.

---

4.
# Na2Ac3Te3O2

A relaxed Na2Ac3Te3O2 crystal (PBE, the Alexandria database).

abc: 4.7252 4.7252 14.0236
angles: 99.70 99.70 90.00
Sites, in units of the cell vectors:
Ac 0.5000 0.5000 0.0000
Te 0.3755 0.3755 0.7509
Ac 0.1373 0.1373 0.2746
O 0.2161 0.2161 0.4322
Na 0.2500 0.7500 0.5000
Te 0.0000 0.0000 0.0000
Te 0.6245 0.6245 0.2491
Na 0.7500 0.2500 0.5000
O 0.7839 0.7839 0.5678
Ac 0.8627 0.8627 0.7254

Calculated values
The calculation puts the formation energy without anion corrections at -1.810 eV per atom. The calculation puts the magnetization at 0.0 Bohr magnetons per cell. As for the total energy: -0.193 Ha/atom.

---

5.
# Ti6Ni2N

A relaxed Ti6Ni2N crystal (PBE, the Alexandria database).

abc: 2.9411 6.6997 7.2061
angles: 117.70 90.00 90.00
Sites, in units of the cell vectors:
Ni 0.0000 0.3270 0.6869
Ti 0.5000 0.4367 0.4625
Ti 0.0000 0.2339 0.0000
Ti 0.5000 0.6214 0.0000
Ni 0.0000 0.6401 0.3131
Ti 0.5000 0.9742 0.5375
N 0.5000 0.9593 0.0000
Ti 0.0000 0.7898 0.7723
Ti 0.0000 0.0175 0.2277

Calculated values
The calculation puts the formation energy without anion corrections at -0.457 eV per atom. The calculation puts the magnetization at 0.6 Bohr magnetons per cell. For the energy above the most stable polymorph in this dataset, the calculation gives 0.159 eV/atom. As for the total energy: -0.291 Ha/atom.

---

6.
# Sc6OsS4

A relaxed Sc6OsS4 crystal (PBE, the Alexandria database).

abc: 3.6039 6.3470 18.7674
angles: 90.00 90.00 106.49
Sites, in units of the cell vectors:
S 0.8578 0.7156 0.9628
Sc 0.0616 0.1232 0.3340
S 0.1422 0.2844 0.0372
Sc 0.9384 0.8768 0.6660
S 0.5843 0.1686 0.6245
S 0.8578 0.7156 0.5372
Sc 0.2302 0.4604 0.9043
Sc 0.5000 0.0000 0.5000
Sc 0.7698 0.5396 0.0957
Sc 0.7698 0.5396 0.4043
Sc 0.3304 0.6607 0.2500
S 0.5843 0.1686 0.8755
S 0.1422 0.2844 0.4628
Sc 0.0616 0.1232 0.1660
Sc 0.9384 0.8768 0.8340
Sc 0.5000 0.0000 0.0000
Os 0.3279 0.6557 0.7500
S 0.4157 0.8314 0.3755
Sc 0.6696 0.3393 0.7500
Os 0.6721 0.3443 0.2500
Sc 0.2302 0.4604 0.5957
S 0.4157 0.8314 0.1245

Calculated values
The calculation puts the formation energy without anion corrections at -1.454 eV per atom. The calculation puts the magnetization at 0.0 Bohr magnetons per cell. As for the total energy: -0.273 Ha/atom.

---

7.
# Pr6TePt2Se3

A relaxed Pr6TePt2Se3 crystal (PBE, the Alexandria database).

abc: 4.2336 8.8470 9.7598
angles: 104.61 102.53 90.00
Sites, in units of the cell vectors:
Pt 0.1670 0.3342 0.3340
Pr 0.6711 0.5734 0.3423
Se 0.1610 0.8360 0.3220
Te 0.5000 0.0000 0.0000
Pr 0.9955 0.7327 0.9910
Pt 0.8330 0.6658 0.6660
Pr 0.0045 0.2673 0.0090
Se 0.8390 0.1640 0.6780
Se 0.5000 0.5000 0.0000
Pr 0.3289 0.4266 0.6577
Pr 0.3264 0.8969 0.6528
Pr 0.6736 0.1031 0.3472

Calculated values
The calculation puts the formation energy without anion corrections at -1.495 eV per atom. The calculation puts the magnetization at 0.0 Bohr magnetons per cell. As for the total energy: -0.221 Ha/atom.

---

8.
# Be3CrTc

A relaxed Be3CrTc crystal (PBE, the Alexandria database).

abc: 4.0380 4.0380 4.0380
angles: 90.00 90.00 90.00
Sites, in units of the cell vectors:
Cr 0.5000 0.5000 0.5000
Be 0.0000 0.5000 0.0000
Tc 0.0000 0.0000 0.0000
Be 0.5000 0.0000 0.0000
Be 0.0000 0.0000 0.5000

Calculated values
Its formation energy is 117.2 kJ/mol of atoms. The calculation puts the magnetization at 0.0 Bohr magnetons per cell. For the energy above the most stable polymorph in this dataset, the calculation gives 0.061 eV/atom. As for the total energy: -0.184 Ha/atom.